(1)
Here is a relaxed ZrCrNi2 crystal from Alexandria via LeMat-Bulk. Energies are from GGA-PBE.

a = 2.835 Å, b = 3.130 Å, c = 6.389 Å
α = 90.00°, β = 90.00°, γ = 90.00°
Fractional coordinates of all 4 atoms:
Zr1 0.000 0.000 0.000
Cr1 0.000 0.000 0.500
Ni1 0.500 0.500 0.298
Ni2 0.500 0.500 0.702

- Energy of formation from the pure elements: -11 kJ/mol of formula units

(2)
Here is a relaxed HfInMo4 crystal from Alexandria via LeMat-Bulk. Energies are from GGA-PBE.

a = 5.345 Å, b = 5.345 Å, c = 5.345 Å
α = 60.00°, β = 60.00°, γ = 60.00°
Fractional coordinates of all 6 atoms:
Hf1 0.000 0.000 0.000
In1 0.250 0.250 0.250
Mo1 0.127 0.624 0.624
Mo2 0.624 0.127 0.624
Mo3 0.624 0.624 0.127
Mo4 0.624 0.624 0.624

- Energy of formation from the pure elements: 47 kJ/mol of formula units

(3)
Here is a relaxed Er4BiTe2As crystal from Alexandria via LeMat-Bulk. Energies are from GGA-PBE.

a = 7.452 Å, b = 4.275 Å, c = 7.486 Å
α = 90.00°, β = 109.24°, γ = 90.00°
Fractional coordinates of all 8 atoms:
Er1 0.224 0.000 0.224
Er2 0.235 0.500 0.765
Er3 0.765 0.500 0.235
Er4 0.776 0.000 0.776
Bi1 0.000 0.000 0.500
Te1 0.500 0.000 0.000
Te2 0.500 0.500 0.500
As1 0.000 0.500 0.000

- Uncorrected energy: -42.85 eV/cell

(4)
Here is a relaxed GeBrF2 crystal from Alexandria via LeMat-Bulk. Energies are from GGA-PBE.

a = 6.721 Å, b = 6.721 Å, c = 6.721 Å
α = 125.00°, β = 125.00°, γ = 81.54°
Fractional coordinates of all 8 atoms:
Ge1 0.000 0.000 0.000
Ge2 0.750 0.250 0.500
Br1 0.250 0.750 0.500
Br2 0.500 0.500 0.000
F1 0.375 0.126 0.251
F2 0.874 0.125 0.249
F3 0.875 0.124 0.749
F4 0.876 0.625 0.751

- Uncorrected energy: -29.81 eV/cell

(5)
Here is a relaxed Ac8Y2Tm3 crystal from Alexandria via LeMat-Bulk. Energies are from GGA-PBE.

a = 11.161 Å, b = 11.161 Å, c = 6.095 Å
α = 90.00°, β = 90.00°, γ = 135.16°
Fractional coordinates of all 13 atoms:
Ac1 0.125 0.875 0.000
Ac2 0.191 0.400 0.500
Ac3 0.325 0.675 0.000
Ac4 0.400 0.191 0.500
Ac5 0.600 0.809 0.500
Ac6 0.675 0.325 0.000
Ac7 0.809 0.600 0.500
Ac8 0.875 0.125 0.000
Y1 0.237 0.763 0.500
Y2 0.763 0.237 0.500
Tm1 0.000 0.000 0.500
Tm2 0.300 0.300 0.000
Tm3 0.700 0.700 0.000

- Energy of formation from the pure elements: 290 kJ/mol of formula units

(6)
Here is a relaxed In3CuAs crystal from Alexandria via LeMat-Bulk. Energies are from GGA-PBE.

a = 5.413 Å, b = 5.413 Å, c = 5.413 Å
α = 90.00°, β = 90.00°, γ = 90.00°
Fractional coordinates of all 5 atoms:
In1 0.000 0.000 0.500
In2 0.000 0.500 0.000
In3 0.500 0.000 0.000
Cu1 0.500 0.500 0.500
As1 0.000 0.000 0.000

- Energy of formation from the pure elements: 305 kJ/mol of formula units

(7)
Here is a relaxed LaCoRe2 crystal from Alexandria via LeMat-Bulk. Energies are from GGA-PBE.

a = 6.010 Å, b = 6.010 Å, c = 4.565 Å
α = 112.13°, β = 112.13°, γ = 26.81°
Fractional coordinates of all 4 atoms:
La1 0.000 0.000 0.000
Co1 0.500 0.500 0.500
Re1 0.212 0.212 0.712
Re2 0.788 0.788 0.288

- Energy of formation from the pure elements: 152 kJ/mol of formula units

(8)
Here is a relaxed Na2DyUTe4 crystal from Alexandria via LeMat-Bulk. Energies are from GGA-PBE.

a = 7.680 Å, b = 4.427 Å, c = 8.014 Å
α = 90.00°, β = 108.67°, γ = 90.00°
Fractional coordinates of all 8 atoms:
Na1 0.000 0.000 0.000
Na2 0.500 0.500 0.000
Dy1 0.000 0.500 0.500
U1 0.500 0.000 0.500
Te1 0.242 0.000 0.734
Te2 0.252 0.500 0.265
Te3 0.748 0.500 0.735
Te4 0.758 0.000 0.266

- Uncorrected energy: -39.33 eV/cell

| no. | calculated density (g cm⁻³) |
| --- | --- |
| 1 | 7.63 |
| 2 | 10.41 |
| 3 | 8.91 |
| 4 | 3.23 |
| 5 | 7.76 |
| 6 | 5.06 |
| 7 | 13.81 |
| 8 | 6.16 |